No. 1
An optimized crystal structure of AsPW2. Source: Alexandria, functional GGA-PBE.

Its calculated density is 12.33 g/cm3. For the calculated total energy, the calculation gives -68.531 eV/cell. Its formation energy is 41.0 kJ per mole of atoms.

It has space group Immm (No. 71), with a = 3.3340 Å, b = 4.9331 Å, c = 7.7528 Å, α = 90.00°, β = 90.00° and γ = 90.00°. The inequivalent atoms are As at (0.0000, 0.0000, 0.0000), P at (0.0000, 0.0000, 0.5000) and W at (0.0000, 0.5000, 0.2099).


No. 2
An optimized crystal structure of SrCa2F. Source: Alexandria, functional GGA-PBE.

Its calculated density is 2.09 g/cm3. The calculation puts the raw formation energy at -1.403 eV per atom. For the calculated total energy, the calculation gives -52.674 eV/cell.

It has space group I4_1/amd (No. 141, origin choice 2), with a = 7.4848 Å, b = 7.4848 Å, c = 10.6017 Å, α = 90.00°, β = 90.00° and γ = 90.00°. The inequivalent atoms are Sr at (0.0000, 0.2500, 0.3750), Ca at (0.0000, 0.0000, 0.0000) and F at (0.0000, 0.2500, 0.8750).


No. 3
An optimized crystal structure of Ga6Ag5. Source: Alexandria, functional GGA-PBE.

Its calculated density is 7.87 g/cm3. For the calculated total energy, the calculation gives -64.082 eV/cell. Its formation energy is 3.3 kJ per mole of atoms.

It has space group C2/m (No. 12), with a = 8.0799 Å, b = 10.4695 Å, c = 5.1533 Å, α = 90.00°, β = 112.11° and γ = 90.00°. The inequivalent atoms are Ga at (0.1833, 0.0000, 0.1818), Ga at (0.1880, 0.1329, 0.6702), Ag at (0.0000, 0.2262, 0.0000), Ag at (0.0000, 0.3603, 0.5000) and Ag at (0.0000, 0.5000, 0.0000).


No. 4
An optimized crystal structure of ThBi. Source: Alexandria, functional GGA-PBE.

Its calculated density is 10.72 g/cm3. For the calculated total energy, the calculation gives -24.637 eV/cell. Its formation energy is -49.1 kJ per mole of atoms.

It has space group P6_3/mmc (No. 194), with a = 4.4060 Å, b = 4.4060 Å, c = 8.1282 Å, α = 90.00°, β = 90.00° and γ = 120.00°. The inequivalent atoms are Th at (0.3333, 0.6667, 0.2500) and Bi at (0.0000, 0.0000, 0.0000).


No. 5
An optimized crystal structure of MnNiHg. Source: Alexandria, functional GGA-PBE.

Its calculated density is 9.56 g/cm3. For the calculated total energy, the calculation gives -54.632 eV/cell. Its formation energy is 51.3 kJ per mole of atoms.

It has space group F-43m (No. 216), with a = 6.0208 Å, b = 6.0208 Å, c = 6.0208 Å, α = 90.00°, β = 90.00° and γ = 90.00°. The inequivalent atoms are Mn at (0.0000, 0.0000, 0.0000), Ni at (0.2500, 0.2500, 0.2500) and Hg at (0.2500, 0.2500, 0.7500).


No. 6
An optimized crystal structure of CeDyIn2Se4. Source: Alexandria, functional GGA-PBE.

Its calculated density is 5.88 g/cm3. The calculation puts the raw formation energy at -1.259 eV per atom. For the calculated total energy, the calculation gives -40.026 eV/cell.

It has space group P2/m (No. 10), with a = 7.3333 Å, b = 4.2307 Å, c = 8.0959 Å, α = 90.00°, β = 107.43° and γ = 90.00°. The inequivalent atoms are Ce at (0.0000, 0.0000, 0.0000), Dy at (0.5000, 0.5000, 0.0000), In at (0.0000, 0.5000, 0.5000), In at (0.5000, 0.0000, 0.5000), Se at (0.2450, 0.5000, 0.2123) and Se at (0.2715, 0.0000, 0.7913).


No. 7
An optimized crystal structure of NaTbHg. Source: Alexandria, functional GGA-PBE.

Its calculated density is 7.67 g/cm3. For the calculated total energy, the calculation gives -13.804 eV/cell. Its formation energy is -20.9 kJ per mole of atoms.

It has space group P-1 (No. 2), with a = 3.8831 Å, b = 4.8139 Å, c = 8.8602 Å, α = 90.09°, β = 90.08° and γ = 90.05°. The inequivalent atoms are Na at (0.2502, 0.2498, 0.0138), Tb at (0.2493, 0.7512, 0.6254) and Hg at (0.2505, 0.7484, 0.2779).


No. 8
An optimized crystal structure of In4Sn3Pb. Source: Alexandria, functional GGA-PBE.

Its calculated density is 7.60 g/cm3. For the calculated total energy, the calculation gives -52.303 eV/cell. Its formation energy is 6.3 kJ per mole of atoms.

It has space group C2/m (No. 12), with a = 14.6102 Å, b = 5.5785 Å, c = 5.8504 Å, α = 90.00°, β = 110.35° and γ = 90.00°. The inequivalent atoms are In at (0.1237, 0.0000, 0.1167), In at (0.2460, 0.5000, 0.2478), Sn at (0.0000, 0.5000, 0.0000), Sn at (0.1331, 0.5000, 0.6355) and Pb at (0.0000, 0.0000, 0.5000).


Total magnetization list, top to bottom, in μB/f.u.: 0.0 0.0 0.0 0.0 4.3 1.0 0.0 0.0